No. 1
A geometry-optimized AlGa2Pb structure. Source: Alexandria, functional PBE.

## Properties
D(E_F) (states/eV/f.u.): 1.73
Theoretical density (g/cm³): 6.7
Formation energy from the elements (meV per atom): 186
ΔE to the lowest computed polymorph (eV/atom): 0.088

Unit cell a=10.351 b=10.351 c=10.351 alpha=155.83 beta=155.83 gamma=34.45
Atoms (fractional coordinates):
Al 0.000 0.000 0.000
Al 0.750 0.250 0.500
Ga 0.062 0.625 0.937
Ga 0.375 0.312 0.437
Ga 0.688 0.125 0.063
Ga 0.875 0.938 0.563
Pb 0.250 0.750 0.500
Pb 0.500 0.500 0.000

No. 2
A geometry-optimized Li6H2N structure. Source: Alexandria, functional PBE.

## Properties
D(E_F) (states/eV/f.u.): 1.43
Theoretical density (g/cm³): 0.9
ΔE to the lowest computed polymorph (eV/atom): 0.000

Unit cell a=5.821 b=5.821 c=5.821 alpha=51.10 beta=51.10 gamma=51.10
Atoms (fractional coordinates):
Li 0.110 0.445 0.693
Li 0.307 0.890 0.555
Li 0.445 0.693 0.110
Li 0.555 0.307 0.890
Li 0.693 0.110 0.445
Li 0.890 0.555 0.307
H 0.305 0.305 0.305
H 0.695 0.695 0.695
N 0.500 0.500 0.500

No. 3
A geometry-optimized ScSi6Pd12 structure. Source: Alexandria, functional PBE.

## Properties
D(E_F) (states/eV/f.u.): 9.76
Theoretical density (g/cm³): 8.2
Formation energy (no corrections) (eV per atom): -0.576

Unit cell a=7.078 b=7.078 c=7.078 alpha=105.92 beta=105.92 gamma=105.92
Atoms (fractional coordinates):
Sc 0.000 0.000 0.000
Si 0.255 0.255 0.695
Si 0.255 0.695 0.255
Si 0.305 0.745 0.745
Si 0.695 0.255 0.255
Si 0.745 0.305 0.745
Si 0.745 0.745 0.305
Pd 0.124 0.500 0.876
Pd 0.124 0.876 0.500
Pd 0.168 0.425 0.425
Pd 0.425 0.168 0.425
Pd 0.425 0.425 0.168
Pd 0.500 0.124 0.876
Pd 0.500 0.876 0.124
Pd 0.575 0.575 0.832
Pd 0.575 0.832 0.575
Pd 0.832 0.575 0.575
Pd 0.876 0.124 0.500
Pd 0.876 0.500 0.124